Record 1
# TmTaFe, optimized geometry, DFT PBE
# calculated density: 11.41 g cm⁻³
# excess energy over the best structure of this formula in the dataset: 0.0 kJ/mol of atoms
# energy relative to the elements: 1.0 eV per formula unit
# calculated total energy: -7.8698 eV per atom
# crystal system: cubic
data_TmTaFe
_space_group_name_H-M_alt 'F -4 3 m'
_space_group_IT_number 216
_space_group_name_Hall 'F -4 2 3'
_cell_length_a 6.181
_cell_length_b 6.181
_cell_length_c 6.181
_cell_angle_alpha 90.00
_cell_angle_beta 90.00
_cell_angle_gamma 90.00
loop_
_atom_site_label
_atom_site_fract_x
_atom_site_fract_y
_atom_site_fract_z
Tm1 0.000 0.000 0.000
Ta1 0.000 0.000 0.500
Fe1 0.250 0.250 0.750



Record 2
# LiHfU, optimized geometry, DFT PBE
# calculated density: 10.87 g cm⁻³
# excess energy over the best structure of this formula in the dataset: 0.0 kJ/mol of atoms
# calculated total energy: -6.5312 eV per atom
# crystal system: cubic
data_LiHfU
_space_group_name_H-M_alt 'F -4 3 m'
_space_group_IT_number 216
_space_group_name_Hall 'F -4 2 3'
_cell_length_a 6.373
_cell_length_b 6.373
_cell_length_c 6.373
_cell_angle_alpha 90.00
_cell_angle_beta 90.00
_cell_angle_gamma 90.00
loop_
_atom_site_label
_atom_site_fract_x
_atom_site_fract_y
_atom_site_fract_z
Li1 0.000 0.000 0.000
Hf1 0.250 0.250 0.750
U1 0.250 0.250 0.250